1.
Computed, not measured: a relaxed structure of Pm2TmTh3 at the GGA-PBE level of DFT.

Energy of formation, meV per atom: 192.7
Size of the total moment, μB/f.u.: 0.0
Electronic total energy, eV/atom: -5.846
Fermi-level density of states, states/eV/cell: 30.3

```
data_Pm2TmTh3
_chemical_formula_sum 'Pm8 Tm4 Th12'
_symmetry_space_group_name_H-M 'C m c m'
_symmetry_Int_Tables_number 63
_symmetry_space_group_name_Hall '-C 2c 2'
_cell_length_a 10.276
_cell_length_b 11.383
_cell_length_c 6.755
_cell_angle_alpha 90.00
_cell_angle_beta 90.00
_cell_angle_gamma 90.00
loop_
_atom_site_label
_atom_site_fract_x
_atom_site_fract_y
_atom_site_fract_z
Pm1 0.167 0.230 0.250
Tm1 0.000 0.271 0.750
Th1 0.000 0.000 0.000
Th2 0.166 0.500 0.000
```

2.
Computed, not measured: a relaxed structure of Pm4Tm7Th at the GGA-PBE level of DFT.

Energy of formation, meV per atom: 301.0
Size of the total moment, μB/f.u.: 0.0
Electronic total energy, eV/atom: -4.509
Fermi-level density of states, states/eV/cell: 36.7

```
data_Pm4Tm7Th
_chemical_formula_sum 'Pm8 Tm14 Th2'
_symmetry_space_group_name_H-M 'C 1 2/m 1'
_symmetry_Int_Tables_number 12
_cell_length_a 12.122
_cell_length_b 5.909
_cell_length_c 12.674
_cell_angle_alpha 90.00
_cell_angle_beta 118.38
_cell_angle_gamma 90.00
loop_
_symmetry_equiv_pos_as_xyz
'x,y,z'
'-x,-y,-z'
'-x,y,-z'
'x,-y,z'
'x+1/2,y+1/2,z'
'-x+1/2,-y+1/2,-z'
'-x+1/2,y+1/2,-z'
'x+1/2,-y+1/2,z'
loop_
_atom_site_label
_atom_site_fract_x
_atom_site_fract_y
_atom_site_fract_z
Pm1 0.061 0.000 0.331
Pm2 0.138 0.500 0.777
Tm1 0.000 0.000 0.000
Tm2 0.136 0.500 0.504
Tm3 0.210 0.000 0.923
Tm4 0.249 0.000 0.684
Th1 0.000 0.500 0.000
```

3.
Computed, not measured: a relaxed structure of Pm8Tm2Th at the GGA-PBE level of DFT.

Energy of formation, meV per atom: 189.1
Size of the total moment, μB/f.u.: 0.0
Electronic total energy, eV/atom: -4.753
Fermi-level density of states, states/eV/cell: 36.1

```
data_Pm8Tm2Th
_chemical_formula_sum 'Pm16 Tm4 Th2'
_symmetry_space_group_name_H-M 'C 1 2/m 1'
_symmetry_Int_Tables_number 12
_cell_length_a 19.388
_cell_length_b 6.955
_cell_length_c 5.659
_cell_angle_alpha 90.00
_cell_angle_beta 93.83
_cell_angle_gamma 90.00
loop_
_symmetry_equiv_pos_as_xyz
'x,y,z'
'-x,-y,-z'
'-x,y,-z'
'x,-y,z'
'x+1/2,y+1/2,z'
'-x+1/2,-y+1/2,-z'
'-x+1/2,y+1/2,-z'
'x+1/2,-y+1/2,z'
loop_
_atom_site_label
_atom_site_fract_x
_atom_site_fract_y
_atom_site_fract_z
Pm1 0.046 0.000 0.235
Pm2 0.132 0.235 0.728
Pm3 0.185 0.500 0.226
Tm1 0.217 0.000 0.254
Th1 0.000 0.500 0.000
```

4.
Computed, not measured: a relaxed structure of Pm5Tm2Th2 at the GGA-PBE level of DFT.

Energy of formation, meV per atom: 52.9
Size of the total moment, μB/f.u.: 0.0
Electronic total energy, eV/atom: -5.229
Fermi-level density of states, states/eV/cell: 13.1

```
data_Pm5Tm2Th2
_chemical_formula_sum 'Pm5 Tm2 Th2'
_symmetry_space_group_name_H-M 'P -1'
_symmetry_Int_Tables_number 2
_cell_length_a 6.234
_cell_length_b 6.234
_cell_length_c 9.497
_cell_angle_alpha 108.96
_cell_angle_beta 90.10
_cell_angle_gamma 119.93
loop_
_symmetry_equiv_pos_as_xyz
'x,y,z'
'-x,-y,-z'
loop_
_atom_site_label
_atom_site_fract_x
_atom_site_fract_y
_atom_site_fract_z
Pm1 0.000 0.000 0.000
Pm2 0.225 0.112 0.667
Pm3 0.449 0.222 0.334
Tm1 0.328 0.664 0.000
Th1 0.104 0.549 0.331
```

5.
Computed, not measured: a relaxed structure of PmTmTh2 at the GGA-PBE level of DFT.

Energy of formation, meV per atom: 63.9
Size of the total moment, μB/f.u.: 0.0
Electronic total energy, eV/atom: -5.952
Fermi-level density of states, states/eV/cell: 6.5

```
data_PmTmTh2
_chemical_formula_sum 'Pm1 Tm1 Th2'
_symmetry_space_group_name_H-M 'P 4/m m m'
_symmetry_Int_Tables_number 123
_symmetry_space_group_name_Hall '-P 4 2'
_cell_length_a 3.556
_cell_length_b 3.556
_cell_length_c 10.201
_cell_angle_alpha 90.00
_cell_angle_beta 90.00
_cell_angle_gamma 90.00
loop_
_atom_site_label
_atom_site_fract_x
_atom_site_fract_y
_atom_site_fract_z
Pm1 0.000 0.000 0.000
Tm1 0.000 0.000 0.500
Th1 0.500 0.500 0.256
```

6.
Computed, not measured: a relaxed structure of Pm2Tm8Th3 at the GGA-PBE level of DFT.

Energy of formation, meV per atom: 163.5
Size of the total moment, μB/f.u.: 0.0
Electronic total energy, eV/atom: -5.031
Fermi-level density of states, states/eV/cell: 40.1

```
data_Pm2Tm8Th3
_chemical_formula_sum 'Pm4 Tm16 Th6'
_symmetry_space_group_name_H-M 'I m m m'
_symmetry_Int_Tables_number 71
_symmetry_space_group_name_Hall '-I 2 2'
_cell_length_a 5.584
_cell_length_b 6.732
_cell_length_c 22.131
_cell_angle_alpha 90.00
_cell_angle_beta 90.00
_cell_angle_gamma 90.00
loop_
_atom_site_label
_atom_site_fract_x
_atom_site_fract_y
_atom_site_fract_z
Pm1 0.000 0.000 0.224
Tm1 0.000 0.000 0.075
Tm2 0.000 0.259 0.351
Tm3 0.000 0.500 0.179
Th1 0.000 0.269 0.500
Th2 0.000 0.500 0.000
```

7.
Computed, not measured: a relaxed structure of Pm8Tm4Th at the GGA-PBE level of DFT.

Energy of formation, meV per atom: 230.3
Size of the total moment, μB/f.u.: 0.0
Electronic total energy, eV/atom: -4.640
Fermi-level density of states, states/eV/cell: 44.7

```
data_Pm8Tm4Th
_chemical_formula_sum 'Pm24 Tm12 Th3'
_symmetry_space_group_name_H-M 'R -3 m'
_symmetry_Int_Tables_number 166
_symmetry_space_group_name_Hall '-R 3 2"'
_cell_length_a 7.3278
_cell_length_b 7.3278
_cell_length_c 28.2983
_cell_angle_alpha 90.00
_cell_angle_beta 90.00
_cell_angle_gamma 120.00
loop_
_atom_site_label
_atom_site_fract_x
_atom_site_fract_y
_atom_site_fract_z
Pm1 0.0000 0.0000 0.2152
Pm2 0.0339 0.5170 0.7639
Tm1 0.0000 0.0000 0.0000
Tm2 0.0000 0.5000 0.0000
Th1 0.0000 0.0000 0.5000
```

8.
Computed, not measured: a relaxed structure of Pm6Tm5Th at the GGA-PBE level of DFT.

Energy of formation, meV per atom: 30.9
Size of the total moment, μB/f.u.: 0.0
Electronic total energy, eV/atom: -4.826
Fermi-level density of states, states/eV/cell: 35.0

```
data_Pm6Tm5Th
_chemical_formula_sum 'Pm12 Tm10 Th2'
_symmetry_space_group_name_H-M 'I m m m'
_symmetry_Int_Tables_number 71
_symmetry_space_group_name_Hall '-I 2 2'
_cell_length_a 5.083
_cell_length_b 10.090
_cell_length_c 15.171
_cell_angle_alpha 90.00
_cell_angle_beta 90.00
_cell_angle_gamma 90.00
loop_
_atom_site_label
_atom_site_fract_x
_atom_site_fract_y
_atom_site_fract_z
Pm1 0.000 0.249 0.000
Pm2 0.000 0.250 0.335
Tm1 0.000 0.000 0.164
Tm2 0.000 0.000 0.500
Tm3 0.000 0.500 0.168
Th1 0.000 0.500 0.500
```

9.
Computed, not measured: a relaxed structure of Pm12Tm6Th at the GGA-PBE level of DFT.

Energy of formation, meV per atom: 132.7
Size of the total moment, μB/f.u.: 0.0
Electronic total energy, eV/atom: -4.670
Fermi-level density of states, states/eV/cell: 82.4

```
data_Pm12Tm6Th
_chemical_formula_sum 'Pm36 Tm18 Th3'
_symmetry_space_group_name_H-M 'R -3 m'
_symmetry_Int_Tables_number 166
_symmetry_space_group_name_Hall '-R 3 2"'
_cell_length_a 13.2302
_cell_length_b 13.2302
_cell_length_c 12.7801
_cell_angle_alpha 90.00
_cell_angle_beta 90.00
_cell_angle_gamma 120.00
loop_
_atom_site_label
_atom_site_fract_x
_atom_site_fract_y
_atom_site_fract_z
Pm1 0.0000 0.2627 0.0000
Pm2 0.0554 0.5277 0.1138
Tm1 0.0878 0.1757 0.7718
Th1 0.0000 0.0000 0.0000
```

10.
Computed, not measured: a relaxed structure of PmTm5Th at the GGA-PBE level of DFT.

Energy of formation, meV per atom: 60.9
Size of the total moment, μB/f.u.: 0.0
Electronic total energy, eV/atom: -4.872
Fermi-level density of states, states/eV/cell: 18.3

```
data_PmTm5Th
_chemical_formula_sum 'Pm2 Tm10 Th2'
_symmetry_space_group_name_H-M 'P 1 21/m 1'
_symmetry_Int_Tables_number 11
_cell_length_a 8.859
_cell_length_b 3.579
_cell_length_c 14.189
_cell_angle_alpha 90.00
_cell_angle_beta 103.04
_cell_angle_gamma 90.00
loop_
_symmetry_equiv_pos_as_xyz
'x,y,z'
'-x,-y,-z'
'-x,y+1/2,-z'
'x,-y+1/2,z'
loop_
_atom_site_label
_atom_site_fract_x
_atom_site_fract_y
_atom_site_fract_z
Pm1 0.192 0.250 0.169
Tm1 0.015 0.750 0.314
Tm2 0.166 0.250 0.919
Tm3 0.185 0.250 0.514
Tm4 0.318 0.750 0.730
Tm5 0.457 0.750 0.087
Th1 0.417 0.750 0.390
```

11.
Computed, not measured: a relaxed structure of Pm2Tm3Th2 at the GGA-PBE level of DFT.

Energy of formation, meV per atom: 143.3
Size of the total moment, μB/f.u.: 0.0
Electronic total energy, eV/atom: -5.250
Fermi-level density of states, states/eV/cell: 20.2

```
data_Pm2Tm3Th2
_chemical_formula_sum 'Pm4 Tm6 Th4'
_symmetry_space_group_name_H-M 'C 1 2/m 1'
_symmetry_Int_Tables_number 12
_cell_length_a 17.549
_cell_length_b 3.437
_cell_length_c 8.568
_cell_angle_alpha 90.00
_cell_angle_beta 119.19
_cell_angle_gamma 90.00
loop_
_symmetry_equiv_pos_as_xyz
'x,y,z'
'-x,-y,-z'
'-x,y,-z'
'x,-y,z'
'x+1/2,y+1/2,z'
'-x+1/2,-y+1/2,-z'
'-x+1/2,y+1/2,-z'
'x+1/2,-y+1/2,z'
loop_
_atom_site_label
_atom_site_fract_x
_atom_site_fract_y
_atom_site_fract_z
Pm1 0.063 0.000 0.409
Tm1 0.000 0.500 0.000
Tm2 0.216 0.500 0.301
Th1 0.154 0.500 0.854
```

12.
Computed, not measured: a relaxed structure of Pm3Tm3Th2 at the GGA-PBE level of DFT.

Energy of formation, meV per atom: 29.7
Size of the total moment, μB/f.u.: 0.0
Electronic total energy, eV/atom: -5.284
Fermi-level density of states, states/eV/cell: 18.3

```
data_Pm3Tm3Th2
_chemical_formula_sum 'Pm6 Tm6 Th4'
_symmetry_space_group_name_H-M 'I m m m'
_symmetry_Int_Tables_number 71
_symmetry_space_group_name_Hall '-I 2 2'
_cell_length_a 5.030
_cell_length_b 5.056
_cell_length_c 20.331
_cell_angle_alpha 90.00
_cell_angle_beta 90.00
_cell_angle_gamma 90.00
loop_
_atom_site_label
_atom_site_fract_x
_atom_site_fract_y
_atom_site_fract_z
Pm1 0.000 0.000 0.000
Pm2 0.000 0.500 0.128
Tm1 0.000 0.000 0.500
Tm2 0.000 0.500 0.373
Th1 0.000 0.000 0.250
```